This record from the Alexandria database describes a geometry-optimized TaBe2Cu structure. The functional is PBEsol.

a = 3.6035 Å, b = 3.6035 Å, c = 4.5047 Å
α = 66.42°, β = 66.42°, γ = 60.00°
Fractional positions:
Be 0.7114 0.7114 0.8657
Be 0.2886 0.2886 0.1343
Cu 0.0000 0.0000 0.0000
Ta 0.5000 0.5000 0.5000

Summary:
SG = R-3m
E_form = 0.025 eV per atom